PBE TlPdPt2, relaxed; volume = 68.86 Å³/cell; density = 16.9 g cm⁻³; total DFT energy (no corrections) = -4.946 eV/atom
1.0
-2.828 -1.250 3.407
-3.488 2.742 1.217
-4.331 -1.233 -0.941
Pt Tl Pd
2 1 1
Direct
0.750 0.750 0.750
0.000 0.000 0.000
0.500 0.500 0.500
0.250 0.250 0.250

PBE GdHo2In3CuGe2, relaxed; volume = 200.09 Å³/cell; density = 8.6 g cm⁻³; total DFT energy (no corrections) = -4.435 eV/atom
1.0
-0.353 -4.113 -0.957
1.193 -1.749 7.079
-6.883 1.154 -2.425
Ho Cu In Ge Gd
2 1 3 2 1
Direct
0.000 0.404 0.999
0.000 0.999 0.404
0.000 0.003 0.003
0.500 0.758 0.000
0.500 0.000 0.758
0.500 0.243 0.243
0.500 0.667 0.331
0.500 0.331 0.667
0.000 0.595 0.595

PBE LiAl2Pd, relaxed; volume = 56.43 Å³/cell; density = 4.9 g cm⁻³; energy above the lowest structure with this stoichiometry = 1 meV per atom
1.0
3.044 -3.044 0.000
-3.044 0.000 -3.044
3.044 3.044 0.000
Li Al Pd
1 2 1
Direct
0.000 0.000 0.000
0.750 0.500 0.250
0.250 0.500 0.750
0.500 0.000 0.500

PBE K2ZrCdH16C8O24, relaxed; volume = 537.87 Å³/cell; density = 2.4 g cm⁻³; total DFT energy (no corrections) = -6.250 eV/atom
1.0
-5.263 -6.245 -2.798
3.645 -0.774 8.189
-8.806 0.689 1.709
O H C K Cd Zr
24 16 8 2 1 1
Direct
0.681 0.686 0.693
0.614 0.361 0.056
0.747 0.056 0.639
0.115 0.896 0.135
0.138 0.144 0.446
0.781 0.135 0.104
0.687 0.314 0.307
0.416 0.554 0.144
0.137 0.205 0.797
0.627 0.307 0.686
0.068 0.797 0.795
0.066 0.203 0.205
0.354 0.104 0.865
0.959 0.383 0.396
0.645 0.604 0.383
0.972 0.617 0.604
0.729 0.795 0.203
0.006 0.693 0.314
0.330 0.944 0.361
0.309 0.639 0.944
0.424 0.396 0.617
0.440 0.856 0.554
0.006 0.446 0.856
0.751 0.865 0.896
0.606 0.349 0.166
0.366 0.577 0.077
0.520 0.663 0.155
0.743 0.166 0.651
0.191 0.576 0.921
0.536 0.424 0.079
0.557 0.923 0.577
0.143 0.155 0.337
0.865 0.423 0.923
0.888 0.079 0.576
0.423 0.651 0.834
0.211 0.077 0.423
0.325 0.845 0.663
0.012 0.337 0.845
0.228 0.834 0.349
0.385 0.921 0.424
0.320 0.277 0.725
0.982 0.778 0.235
0.796 0.235 0.222
0.439 0.222 0.765
0.954 0.275 0.277
0.783 0.765 0.778
0.956 0.725 0.723
0.769 0.723 0.275
0.250 0.500 0.500
0.500 0.000 0.000
0.000 0.000 0.000
0.750 0.500 0.500

PBE SrGa2PtAu, relaxed; volume = 211.45 Å³/cell; density = 9.7 g cm⁻³; energy above the lowest structure with this stoichiometry = 31 meV per atom
1.0
4.485 0.000 0.000
0.000 4.485 0.000
0.000 0.000 10.514
Au Sr Ga Pt
2 2 4 2
Direct
0.500 0.000 0.638
0.000 0.500 0.362
0.500 0.000 0.242
0.000 0.500 0.758
0.000 0.500 0.114
0.500 0.500 0.500
0.000 0.000 0.500
0.500 0.000 0.886
0.500 0.500 0.000
0.000 0.000 0.000

PBE Pm2Ge5Pt3, relaxed; volume = 387.90 Å³/cell; density = 10.6 g cm⁻³; total DFT energy (no corrections) = -5.900 eV/atom
1.0
-1.109 -7.185 -4.368
2.931 2.102 7.676
-8.387 1.199 0.398
Pm Ge Pt
4 10 6
Direct
0.869 0.771 0.640
0.369 0.729 0.097
0.131 0.229 0.360
0.631 0.271 0.903
0.250 0.250 0.000
0.750 0.750 0.000
0.522 0.250 0.272
0.478 0.750 0.728
0.606 0.845 0.451
0.394 0.155 0.549
0.978 0.250 0.728
0.022 0.750 0.272
0.106 0.655 0.760
0.894 0.345 0.240
0.750 0.250 0.500
0.862 0.111 0.972
0.638 0.611 0.249
0.138 0.889 0.028
0.250 0.750 0.500
0.362 0.389 0.751

> What is the formula in the second record?

GdHo2In3CuGe2

> Number 4 is which compound?

K2ZrCdH16C8O24